[1]
VASP calculation (PBE) on crystalline Sm4CdAg5 at its relaxed geometry.

Output
Magnetization, Bohr magnetons per cell: 0.00
Theoretical density, g/cm³: 8.534
Raw total energy, Ha/atom: -0.134

Cell: 3.6485 3.6485 18.3187 Å, 90.00 90.00 90.00°
With the nearest neighbours (Å) after each atom.
Sites, in units of the cell vectors:
Sm  0.0000  0.0000  0.1040  8 Ag 3.20-3.21
Sm  0.0000  0.0000  0.3121  8 Ag 3.19-3.21, 1 Cd 3.44
Sm  0.0000  0.0000  0.6879  8 Ag 3.19-3.21, 1 Cd 3.44
Sm  0.0000  0.0000  0.8960  8 Ag 3.20-3.21
Cd  0.0000  0.0000  0.5000  8 Ag 3.02
Ag  0.5000  0.5000  0.0000  8 Sm 3.21
Ag  0.5000  0.5000  0.2076  8 Sm 3.20-3.21
Ag  0.5000  0.5000  0.4141  4 Cd 3.02, 1 Ag 3.15, 4 Sm 3.19
Ag  0.5000  0.5000  0.5859  4 Cd 3.02, 1 Ag 3.15, 4 Sm 3.19
Ag  0.5000  0.5000  0.7924  8 Sm 3.20-3.21

[2]
VASP calculation (PBE) on crystalline Nb6AlV at its relaxed geometry.

Output
Magnetization, Bohr magnetons per cell: 0.00
Energy relative to the lowest polymorph listed for this composition, meV per atom: 0
Theoretical density, g/cm³: 7.514

Cell: 5.1983 5.1983 5.1983 Å, 89.95 89.95 89.95°
With the nearest neighbours (Å) after each atom.
Sites, in units of the cell vectors:
Nb  0.9999  0.2537  0.4998  2 Nb 2.56-2.64
Nb  0.0001  0.7463  0.5002  2 Nb 2.56-2.64
Nb  0.2537  0.4998  0.9999  2 Nb 2.56-2.64
Nb  0.4998  0.9999  0.2537  2 Nb 2.56-2.64
Nb  0.5002  0.0001  0.7463  2 Nb 2.56-2.64
Nb  0.7463  0.5002  0.0001  2 Nb 2.56-2.64
Al  0.0000  0.0000  0.0000  12 Nb 2.91
V  0.5000  0.5000  0.5000  12 Nb 2.90

[3]
VASP calculation (PBE) on crystalline AcPr8Nd6 at its relaxed geometry.

Output
Magnetization, Bohr magnetons per cell: 0.00
Energy relative to the lowest polymorph listed for this composition, meV per atom: 77
Theoretical density, g/cm³: 6.453

Cell: 8.8832 8.8832 8.8832 Å, 67.11 67.11 67.11°
With the nearest neighbours (Å) after each atom.
Sites, in units of the cell vectors:
Ac  0.0000  0.0000  0.0000  6 Nd 3.72, 6 Pr 3.88
Pr  0.1182  0.4250  0.8269  4 Nd 3.40-3.73, 3 Pr 3.41-3.74
Pr  0.1731  0.8818  0.5750  4 Nd 3.40-3.73, 3 Pr 3.41-3.74
Pr  0.2360  0.2360  0.2360  6 Pr 3.46-3.74, 3 Nd 3.76
Pr  0.4250  0.8269  0.1182  4 Nd 3.40-3.73, 3 Pr 3.41-3.74
Pr  0.5750  0.1731  0.8818  4 Nd 3.40-3.73, 3 Pr 3.41-3.74
Pr  0.7640  0.7640  0.7640  6 Pr 3.46-3.74, 3 Nd 3.76
Pr  0.8269  0.1182  0.4250  4 Nd 3.40-3.73, 3 Pr 3.41-3.74
Pr  0.8818  0.5750  0.1731  4 Nd 3.40-3.73, 3 Pr 3.41-3.74
Nd  0.1031  0.6488  0.3781  1 Nd 3.36, 4 Pr 3.40-3.73, 1 Ac 3.72
Nd  0.3512  0.6219  0.8969  1 Nd 3.36, 4 Pr 3.40-3.73, 1 Ac 3.72
Nd  0.3781  0.1031  0.6488  1 Nd 3.36, 4 Pr 3.40-3.73, 1 Ac 3.72
Nd  0.6219  0.8969  0.3512  1 Nd 3.36, 4 Pr 3.40-3.73, 1 Ac 3.72
Nd  0.6488  0.3781  0.1031  1 Nd 3.36, 4 Pr 3.40-3.73, 1 Ac 3.72
Nd  0.8969  0.3512  0.6219  1 Nd 3.36, 4 Pr 3.40-3.73, 1 Ac 3.72

What is the formula in the third record? AcPr8Nd6